Entry 1:
Density functional theory data (PBE-GGA) for a relaxed structure of Tb2Y3Ho3. Values from VASP.

Quantum ESPRESSO input file:
```
&SYSTEM
  ibrav = 0, nat = 8, ntyp = 3
/
ATOMIC_SPECIES
Tb 158.93 Tb.upf
Y 88.91 Y.upf
Ho 164.93 Ho.upf
CELL_PARAMETERS angstrom
4.3865 2.5325 3.9825
-4.3865 2.5325 3.9825
0.0000 -5.0650 3.9825
ATOMIC_POSITIONS crystal
Tb 0.2491 0.2491 0.2491
Tb 0.7509 0.7509 0.7509
Y 0.2646 0.5000 0.7354
Y 0.5000 0.7354 0.2646
Y 0.7354 0.2646 0.5000
Ho 0.0000 0.7667 0.2333
Ho 0.2333 0.0000 0.7667
Ho 0.7667 0.2333 0.0000
```

Total DFT energy (no corrections) = -5.060 eV/atom
Energy of formation = 0.238 eV per atom
DOS(E_F) = 15.4 states/eV per cell
Magnetic moment = 5.76 μB/f.u.
Excess energy over the best structure of this formula in the dataset = 215 meV per atom

=====

Entry 2:
Density functional theory data (PBE-GGA) for a relaxed structure of Tb5Y2Ho. Values from VASP.

Quantum ESPRESSO input file:
```
&SYSTEM
  ibrav = 0, nat = 16, ntyp = 3
/
ATOMIC_SPECIES
Tb 158.93 Tb.upf
Y 88.91 Y.upf
Ho 164.93 Ho.upf
CELL_PARAMETERS angstrom
8.1676 -2.8256 0.0000
8.1676 2.8256 0.0000
-0.0262 0.0000 11.4331
ATOMIC_POSITIONS crystal
Tb 0.0431 0.0431 0.3858
Tb 0.0462 0.0462 0.1115
Tb 0.3946 0.3946 0.7504
Tb 0.4119 0.4119 0.4226
Tb 0.4127 0.4127 0.0811
Tb 0.5873 0.5873 0.9189
Tb 0.5881 0.5881 0.5774
Tb 0.6054 0.6054 0.2496
Tb 0.9538 0.9538 0.8885
Tb 0.9569 0.9569 0.6142
Y 0.2125 0.2125 0.5807
Y 0.2132 0.2132 0.9187
Y 0.7868 0.7868 0.0813
Y 0.7875 0.7875 0.4193
Ho 0.2273 0.2273 0.2507
Ho 0.7727 0.7727 0.7493
```

Total DFT energy (no corrections) = -4.954 eV/atom
Energy of formation = 0.128 eV per atom
DOS(E_F) = 25.8 states/eV per cell
Magnetic moment = 0.00 μB/f.u.
Excess energy over the best structure of this formula in the dataset = 112 meV per atom

=====

Entry 3:
Density functional theory data (PBE-GGA) for a relaxed structure of TbY5Ho8. Values from VASP.

Quantum ESPRESSO input file:
```
&SYSTEM
  ibrav = 0, nat = 14, ntyp = 3
/
ATOMIC_SPECIES
Tb 158.93 Tb.upf
Y 88.91 Y.upf
Ho 164.93 Ho.upf
CELL_PARAMETERS angstrom
-4.7666 4.7666 5.0420
4.7666 -4.7666 5.0420
4.7666 4.7666 -5.0420
ATOMIC_POSITIONS crystal
Tb 0.0000 0.0000 0.0000
Y 0.2131 0.6163 0.1770
Y 0.3837 0.5607 0.5968
Y 0.4393 0.0361 0.8230
Y 0.7500 0.2500 0.5000
Y 0.9639 0.7869 0.4032
Ho 0.0885 0.6712 0.7638
Ho 0.1717 0.2760 0.7557
Ho 0.3288 0.0926 0.4173
Ho 0.5203 0.4160 0.2443
Ho 0.5840 0.8283 0.1043
Ho 0.6752 0.9115 0.5827
Ho 0.7240 0.4797 0.8957
Ho 0.9074 0.3248 0.2362
```

Total DFT energy (no corrections) = -4.994 eV/atom
Energy of formation = 0.262 eV per atom
DOS(E_F) = 21.9 states/eV per cell
Magnetic moment = 0.00 μB/f.u.

=====

Entry 4:
Density functional theory data (PBE-GGA) for a relaxed structure of Tb5YHo7. Values from VASP.

Quantum ESPRESSO input file:
```
&SYSTEM
  ibrav = 0, nat = 13, ntyp = 3
/
ATOMIC_SPECIES
Tb 158.93 Tb.upf
Y 88.91 Y.upf
Ho 164.93 Ho.upf
CELL_PARAMETERS angstrom
-3.3303 5.5390 5.7575
3.3303 -5.5390 5.7575
3.3303 5.5390 -5.7575
ATOMIC_POSITIONS crystal
Tb 0.0000 0.0000 0.0000
Tb 0.2776 0.2366 0.5034
Tb 0.2776 0.7742 0.0410
Tb 0.7332 0.2366 0.9590
Tb 0.7332 0.7742 0.4966
Y 0.7016 0.2016 0.5000
Ho 0.0106 0.5106 0.5000
Ho 0.0868 0.2544 0.8324
Ho 0.3144 0.8144 0.5000
Ho 0.4220 0.2544 0.1676
Ho 0.5042 0.5042 0.0000
Ho 0.5812 0.7530 0.8282
Ho 0.9248 0.7530 0.1718
```

Total DFT energy (no corrections) = -4.492 eV/atom
Energy of formation = 0.251 eV per atom
DOS(E_F) = 23.6 states/eV per cell
Magnetic moment = 0.00 μB/f.u.
Excess energy over the best structure of this formula in the dataset = 0 meV per atom